First-principles (PBE with a Hubbard U) data for a geometry-optimized VH10SNO9 structure, as listed in the Alexandria database.

Summary:
Total DFT energy (no corrections): -245.62 eV for the cell shown
Calculated density: 2.070 g/cm3

Unit cell a=9.981 b=6.255 c=6.812 alpha=71.30 beta=90.00 gamma=90.00
Sites, in units of the cell vectors:
S: 0.002 0.069 0.724
O: 0.707 0.445 0.275
H: 0.348 0.869 0.934
O: 0.369 0.318 0.562
O: 0.546 0.073 0.409
V: 0.500 0.388 0.396
N: 0.146 0.309 0.164
H: 0.149 0.430 0.238
H: 0.588 0.198 0.827
O: 0.035 0.305 0.582
O: 0.367 0.867 0.793
O: 0.207 0.555 0.725
H: 0.088 0.802 0.173
H: 0.662 0.614 0.993
O: 0.432 0.470 0.165
V: 0.000 0.612 0.604
H: 0.766 0.539 0.335
O: 0.130 0.704 0.302
H: 0.649 0.570 0.762
O: 0.856 0.048 0.762
H: 0.052 0.234 0.186
O: 0.869 0.682 0.438
H: 0.162 0.386 0.007
H: 0.720 0.808 0.780
O: 0.867 0.133 0.207
O: 0.580 0.988 0.085
H: 0.763 0.316 0.261
H: 0.859 0.972 0.295
H: 0.266 0.461 0.665
H: 0.552 0.766 0.814
O: 0.630 0.296 0.698
O: 0.932 0.530 0.835
S: 0.502 0.931 0.276
H: 0.359 0.028 0.705
N: 0.646 0.691 0.836
H: 0.720 0.230 0.696
O: 0.046 0.927 0.591
H: 0.220 0.192 0.220
O: 0.535 0.695 0.418
H: 0.220 0.770 0.304
O: 0.356 0.952 0.238
H: 0.263 0.684 0.739
H: 0.848 0.131 0.066
O: 0.080 0.012 0.915